(1)
Compound: GaHg2Bi2
Source: Alexandria via LeMat-Bulk
Functional: PBE-GGA
Structure: optimized geometry

Structure (CIF):
```
data_GaHg2Bi2
_cell_length_a 4.0713
_cell_length_b 4.0713
_cell_length_c 17.7446
_cell_angle_alpha 90.00
_cell_angle_beta 90.00
_cell_angle_gamma 90.00
_symmetry_space_group_name_H-M 'I 4/m m m'
_symmetry_Int_Tables_number 139
_symmetry_space_group_name_Hall '-I 4 2'
loop_
_atom_site_label
_atom_site_type_symbol
_atom_site_fract_x
_atom_site_fract_y
_atom_site_fract_z
Ga1 Ga 0.0000 0.0000 0.0000
Hg1 Hg 0.0000 0.5000 0.2500
Bi1 Bi 0.0000 0.0000 0.4142
```

Calculated values
The value obtained for the energy of formation from the pure elements is 147 meV per atom.

=====

(2)
Compound: Ga3HgBi
Source: Alexandria via LeMat-Bulk
Functional: PBE-GGA
Structure: optimized geometry

Structure (CIF):
```
data_Ga3HgBi
_cell_length_a 5.2042
_cell_length_b 5.2042
_cell_length_c 5.2042
_cell_angle_alpha 90.00
_cell_angle_beta 90.00
_cell_angle_gamma 90.00
_symmetry_space_group_name_H-M 'P m -3 m'
_symmetry_Int_Tables_number 221
_symmetry_space_group_name_Hall '-P 4 2 3'
loop_
_atom_site_label
_atom_site_type_symbol
_atom_site_fract_x
_atom_site_fract_y
_atom_site_fract_z
Ga1 Ga 0.0000 0.0000 0.5000
Hg1 Hg 0.0000 0.0000 0.0000
Bi1 Bi 0.5000 0.5000 0.5000
```

Calculated values
The value obtained for the energy of formation from the pure elements is 383 meV per atom.

=====

(3)
Compound: GaHg2Bi2
Source: Alexandria via LeMat-Bulk
Functional: PBE-GGA
Structure: optimized geometry

Structure (CIF):
```
data_GaHg2Bi2
_cell_length_a 8.8927
_cell_length_b 8.8927
_cell_length_c 3.6558
_cell_angle_alpha 90.00
_cell_angle_beta 90.00
_cell_angle_gamma 90.00
_symmetry_space_group_name_H-M 'P 4/m b m'
_symmetry_Int_Tables_number 127
_symmetry_space_group_name_Hall '-P 4 2ab'
loop_
_atom_site_label
_atom_site_type_symbol
_atom_site_fract_x
_atom_site_fract_y
_atom_site_fract_z
Ga1 Ga 0.0000 0.0000 0.0000
Hg1 Hg 0.1512 0.3488 0.0000
Bi1 Bi 0.1478 0.6478 0.5000
```

Calculated values
The value obtained for the energy of formation from the pure elements is 177 meV per atom.

=====

(4)
Compound: Ga12Hg5Bi3
Source: Alexandria via LeMat-Bulk
Functional: PBE-GGA
Structure: optimized geometry

Structure (CIF):
```
data_Ga12Hg5Bi3
_cell_length_a 16.6179
_cell_length_b 16.6179
_cell_length_c 16.6179
_cell_angle_alpha 90.00
_cell_angle_beta 90.00
_cell_angle_gamma 90.00
_symmetry_space_group_name_H-M 'I a -3 d'
_symmetry_Int_Tables_number 230
_symmetry_space_group_name_Hall '-I 4bd 2c 3'
loop_
_atom_site_label
_atom_site_type_symbol
_atom_site_fract_x
_atom_site_fract_y
_atom_site_fract_z
Ga1 Ga 0.0145 0.0713 0.6504
Hg1 Hg 0.0000 0.0000 0.0000
Hg2 Hg 0.0000 0.2500 0.3750
Bi1 Bi 0.0000 0.2500 0.1250
```

Calculated values
The value obtained for the energy of formation from the pure elements is 168 meV per atom.

=====

Number 1: energy -2.1311 eV per atom. Number 2: energy -2.2699 eV per atom. Number 3: energy -2.1011 eV per atom. Number 4: energy -2.3055 eV per atom.